Density functional theory data (GGA-PBE) for BaAg after structural relaxation.

Cell lengths 4.927, 4.927, 16.027 Å; angles 90.00, 90.00, 120.00 degrees
Fractional coordinates of all 8 atoms:
Ba (0.333, 0.667, 0.121)
Ba (0.333, 0.667, 0.379)
Ba (0.667, 0.333, 0.621)
Ba (0.667, 0.333, 0.879)
Ag (0.000, 0.000, 0.250)
Ag (0.000, 0.000, 0.750)
Ag (0.333, 0.667, 0.750)
Ag (0.667, 0.333, 0.250)

Computed properties:
Crystal system: hexagonal
Space-group type: No. 194
Formation enthalpy at 0 K in eV per atom: -0.23

Density functional theory data (GGA-PBE) for BaAg2 after structural relaxation.

Cell lengths 6.251, 6.251, 6.799 Å; angles 101.97, 101.97, 46.64 degrees
Fractional coordinates of all 6 atoms:
Ba (0.000, 0.000, 0.000)
Ba (0.640, 0.640, 0.555)
Ag (0.325, 0.325, 0.231)
Ag (0.364, 0.364, 0.664)
Ag (0.719, 0.719, 0.087)
Ag (0.916, 0.916, 0.460)

Computed properties:
Crystal system: monoclinic
Space-group type: No. 8
Formation enthalpy at 0 K in eV per atom: -0.17

Density functional theory data (GGA-PBE) for BaAg2 after structural relaxation.

Cell lengths 8.208, 8.208, 5.335 Å; angles 90.00, 90.00, 120.00 degrees
Fractional coordinates of all 9 atoms:
Ba (0.000, 0.000, 0.000)
Ba (0.333, 0.667, 0.500)
Ba (0.667, 0.333, 0.500)
Ag (0.000, 0.220, 0.500)
Ag (0.000, 0.409, 0.000)
Ag (0.220, 0.000, 0.500)
Ag (0.409, 0.000, 0.000)
Ag (0.591, 0.591, 0.000)
Ag (0.780, 0.780, 0.500)

Computed properties:
Crystal system: hexagonal
Space-group type: No. 189
Formation enthalpy at 0 K in eV per atom: -0.06

Density functional theory data (GGA-PBE) for Ba3Ag after structural relaxation.

Cell lengths 8.100, 8.100, 13.011 Å; angles 90.00, 90.00, 120.00 degrees
Fractional coordinates of all 16 atoms:
Ba (0.000, 0.500, 0.000)
Ba (0.000, 0.500, 0.500)
Ba (0.159, 0.319, 0.250)
Ba (0.159, 0.841, 0.250)
Ba (0.319, 0.159, 0.750)
Ba (0.500, 0.000, 0.000)
Ba (0.500, 0.000, 0.500)
Ba (0.500, 0.500, 0.000)
Ba (0.500, 0.500, 0.500)
Ba (0.681, 0.841, 0.250)
Ba (0.841, 0.159, 0.750)
Ba (0.841, 0.681, 0.750)
Ag (0.000, 0.000, 0.000)
Ag (0.000, 0.000, 0.500)
Ag (0.333, 0.667, 0.750)
Ag (0.667, 0.333, 0.250)

Computed properties:
Relative energy among the computed polymorphs in kJ/mol of formula units: 77
Crystal system: hexagonal
Space-group type: No. 194
Formation enthalpy at 0 K in eV per atom: 0.07

Density functional theory data (GGA-PBE) for BaAg after structural relaxation.

Cell lengths 4.631, 4.631, 8.815 Å; angles 90.00, 90.00, 120.00 degrees
Fractional coordinates of all 4 atoms:
Ba (0.000, 0.000, 0.000)
Ba (0.000, 0.000, 0.500)
Ag (0.333, 0.667, 0.250)
Ag (0.667, 0.333, 0.750)

Computed properties:
Crystal system: hexagonal
Space-group type: No. 194
Formation enthalpy at 0 K in eV per atom: -0.11

Density functional theory data (GGA-PBE) for BaAg5 after structural relaxation.

Cell lengths 5.949, 5.949, 4.613 Å; angles 90.00, 90.00, 120.00 degrees
Fractional coordinates of all 6 atoms:
Ba (0.000, 0.000, 0.000)
Ag (0.000, 0.500, 0.500)
Ag (0.333, 0.667, 0.000)
Ag (0.500, 0.000, 0.500)
Ag (0.500, 0.500, 0.500)
Ag (0.667, 0.333, 0.000)

Computed properties:
Relative energy among the computed polymorphs in kJ/mol of formula units: 0
Crystal system: hexagonal
Space-group type: No. 191
Formation enthalpy at 0 K in eV per atom: -0.15

Density functional theory data (GGA-PBE) for BaAg after structural relaxation.

Cell lengths 5.802, 5.802, 6.835 Å; angles 90.00, 90.00, 120.00 degrees
Fractional coordinates of all 4 atoms:
Ba (0.333, 0.667, 0.250)
Ba (0.667, 0.333, 0.750)
Ag (0.333, 0.667, 0.750)
Ag (0.667, 0.333, 0.250)

Computed properties:
Crystal system: hexagonal
Space-group type: No. 194
Formation enthalpy at 0 K in eV per atom: 0.00

Density functional theory data (GGA-PBE) for Ba3Ag after structural relaxation.

Cell lengths 6.627, 6.627, 6.627 Å; angles 90.00, 90.00, 90.00 degrees
Fractional coordinates of all 4 atoms:
Ba (0.000, 0.000, 0.500)
Ba (0.000, 0.500, 0.000)
Ba (0.500, 0.000, 0.000)
Ag (0.000, 0.000, 0.000)

Computed properties:
Relative energy among the computed polymorphs in kJ/mol of formula units: 95
Crystal system: cubic
Space-group type: No. 221
Formation enthalpy at 0 K in eV per atom: 0.12

Density functional theory data (GGA-PBE) for Ba5Ag2 after structural relaxation.

Cell lengths 10.615, 10.615, 8.835 Å; angles 97.14, 97.14, 43.12 degrees
Fractional coordinates of all 14 atoms:
Ba (0.083, 0.917, 0.750)
Ba (0.138, 0.294, 0.315)
Ba (0.294, 0.138, 0.815)
Ba (0.303, 0.508, 0.081)
Ba (0.492, 0.697, 0.419)
Ba (0.508, 0.303, 0.581)
Ba (0.697, 0.492, 0.919)
Ba (0.706, 0.862, 0.185)
Ba (0.862, 0.706, 0.685)
Ba (0.917, 0.083, 0.250)
Ag (0.087, 0.695, 0.420)
Ag (0.305, 0.913, 0.080)
Ag (0.695, 0.087, 0.920)
Ag (0.913, 0.305, 0.580)

Computed properties:
Crystal system: monoclinic
Space-group type: No. 15
Formation enthalpy at 0 K in eV per atom: -0.15

Density functional theory data (GGA-PBE) for BaAg after structural relaxation.

Cell lengths 8.749, 8.749, 8.749 Å; angles 93.99, 93.99, 149.42 degrees
Fractional coordinates of all 8 atoms:
Ba (0.109, 0.784, 0.893)
Ba (0.216, 0.109, 0.325)
Ba (0.784, 0.891, 0.675)
Ba (0.891, 0.216, 0.107)
Ag (0.086, 0.417, 0.503)
Ag (0.417, 0.914, 0.331)
Ag (0.583, 0.086, 0.669)
Ag (0.914, 0.583, 0.497)

Computed properties:
Crystal system: tetragonal
Space-group type: No. 87
Formation enthalpy at 0 K in eV per atom: 0.01

Density functional theory data (GGA-PBE) for Ba4Ag after structural relaxation.

Cell lengths 8.033, 9.345, 8.129 Å; angles 90.00, 109.38, 90.00 degrees
Fractional coordinates of all 10 atoms:
Ba (0.248, 0.118, 0.005)
Ba (0.248, 0.882, 0.505)
Ba (0.251, 0.373, 0.495)
Ba (0.251, 0.627, 0.995)
Ba (0.749, 0.373, 0.005)
Ba (0.749, 0.627, 0.505)
Ba (0.752, 0.118, 0.495)
Ba (0.752, 0.882, 0.995)
Ag (0.000, 0.368, 0.750)
Ag (0.000, 0.632, 0.250)

Computed properties:
Relative energy among the computed polymorphs in kJ/mol of formula units: 6
Crystal system: monoclinic
Space-group type: No. 13
Formation enthalpy at 0 K in eV per atom: -0.07

Density functional theory data (GGA-PBE) for BaAg2 after structural relaxation.

Cell lengths 4.912, 4.912, 4.418 Å; angles 90.00, 90.00, 120.00 degrees
Fractional coordinates of all 3 atoms:
Ba (0.000, 0.000, 0.000)
Ag (0.333, 0.667, 0.500)
Ag (0.667, 0.333, 0.500)

Computed properties:
Crystal system: hexagonal
Space-group type: No. 191
Formation enthalpy at 0 K in eV per atom: -0.28

- What is the formation enthalpy at 0 K in the fourth record?
  0.07 eV per atom